{"formula": "BaMnHgF6", "functional": "PBE with a Hubbard U", "state": "relaxed", "dos_at_fermi_per_ev_atom": 0.327, "dft_energy_ev_per_cell": -43.85, "lattice_angstrom": [[-5.159, -2.860, -0.639], [-0.528, -5.174, -2.857], [0.743, -2.349, 4.008]], "species": ["Ba", "Mn", "Hg", "F", "F", "F", "F", "F", "F"], "frac_coords": [[0.996, 0.996, 0.148], [0.667, 0.667, 0.463], [0.340, 0.341, 0.684], [0.975, 0.499, 0.222], [0.344, 0.839, 0.682], [0.838, 0.343, 0.681], [0.850, 0.848, 0.668], [0.490, 0.492, 0.228], [0.500, 0.976, 0.223]]}